The following is a PBE with a Hubbard U calculation of crystalline RbScVO4 at its relaxed geometry, from Alexandria via LeMat-Bulk.

Unit cell a=5.568 b=5.750 c=7.382 alpha=90.00 beta=102.15 gamma=90.00
Space group P2_1/m (No. 11)
One atom of each set of equivalent atoms:
Rb: 0.151 0.250 0.101
Sc: 0.161 0.750 0.471
V: 0.386 0.250 0.664
O: 0.150 0.020 0.665
O: 0.298 0.750 0.215
O: 0.458 0.250 0.437

Calculated values
Total magnetic moment   1.00 μB/f.u.
DFT total energy   -102.782 eV for the cell shown